--- P ---
Density functional theory data (PBE-GGA) for an optimized crystal structure of TmTlHgTe3.

## Properties
Total magnetic moment: 0.02 μB/cell
Volume: 775.9 Å³ per cell

abc: 11.682 4.448 14.933
angles: 90.00 90.00 90.00
Space group Pnma (No. 62)
Symmetry-distinct sites (fractional):
Tm  0.019  0.250  0.244
Tl  0.221  0.750  0.510
Hg  0.241  0.250  0.711
Te  0.029  0.250  0.618
Te  0.061  0.750  0.104
Te  0.233  0.750  0.834


--- Q ---
Density functional theory data (PBE-GGA) for an optimized crystal structure of TmTlHgTe3.

## Properties
Total magnetic moment: 0.05 μB/cell
Volume: 795.2 Å³ per cell

abc: 19.486 4.371 9.557
angles: 90.00 102.36 90.00
Space group C2/m (No. 12)
Symmetry-distinct sites (fractional):
Tm  0.175  0.000  0.086
Tl  0.133  0.000  0.576
Hg  0.036  0.500  0.222
Te  0.000  0.000  0.000
Te  0.000  0.500  0.500
Te  0.167  0.500  0.865
Te  0.187  0.500  0.315


--- R ---
Density functional theory data (PBE-GGA) for an optimized crystal structure of TmTlHgTe3.

## Properties
Total magnetic moment: 0.01 μB/cell
Volume: 761.6 Å³ per cell

abc: 8.879 4.676 18.344
angles: 90.00 90.00 90.00
Space group Pnma (No. 62)
Symmetry-distinct sites (fractional):
Tm  0.228  0.250  0.039
Tl  0.067  0.250  0.805
Hg  0.066  0.250  0.339
Te  0.004  0.250  0.572
Te  0.125  0.750  0.944
Te  0.226  0.250  0.205


--- S ---
Density functional theory data (PBE-GGA) for an optimized crystal structure of TmTlHgTe3.

## Properties
Total magnetic moment: 0.02 μB/cell
Volume: 402.8 Å³ per cell

abc: 8.705 4.406 11.022
angles: 90.00 107.67 90.00
Space group P2_1/m (No. 11)
Symmetry-distinct sites (fractional):
Tm  0.187  0.250  0.142
Tl  0.243  0.750  0.713
Hg  0.421  0.750  0.383
Te  0.055  0.250  0.856
Te  0.237  0.250  0.442
Te  0.432  0.750  0.131


Verdict on stability: R comes out at the bottom.


--- P ---
Density functional theory data (PBE-GGA) for an optimized crystal structure of TmTlHgTe3.

## Properties
Total magnetic moment: 0.01 μB/cell
Volume: 782.5 Å³ per cell

abc: 4.394 15.431 11.541
angles: 90.00 90.00 90.00
Space group Cmcm (No. 63)
Symmetry-distinct sites (fractional):
Tm  0.000  0.000  0.000
Tl  0.000  0.239  0.250
Hg  0.000  0.460  0.750
Te  0.000  0.081  0.750
Te  0.000  0.363  0.543


--- Q ---
Density functional theory data (PBE-GGA) for an optimized crystal structure of TmTlHgTe3.

## Properties
Total magnetic moment: 0.01 μB/cell
Volume: 798.1 Å³ per cell

abc: 15.240 4.436 11.805
angles: 90.00 90.00 90.00
Space group Pnma (No. 62)
Symmetry-distinct sites (fractional):
Tm  0.025  0.250  0.156
Tl  0.236  0.250  0.447
Hg  0.021  0.750  0.395
Te  0.100  0.250  0.921
Te  0.101  0.750  0.628
Te  0.155  0.750  0.229


Verdict on stability: Q comes out at the bottom.


--- P ---
Density functional theory data (PBE-GGA) for an optimized crystal structure of UHgTe.

## Properties
Total magnetic moment: 14.92 μB/cell
Volume: 385.7 Å³ per cell

abc: 7.279 7.279 7.279
angles: 90.00 90.00 90.00
Space group F-43m (No. 216)
Symmetry-distinct sites (fractional):
U  0.000  0.000  0.000
Hg  0.250  0.250  0.750
Te  0.250  0.250  0.250


--- Q ---
Density functional theory data (PBE-GGA) for an optimized crystal structure of UHgTe.

## Properties
Total magnetic moment: 14.20 μB/cell
Volume: 381.4 Å³ per cell

abc: 7.252 7.252 7.252
angles: 90.00 90.00 90.00
Space group F-43m (No. 216)
Symmetry-distinct sites (fractional):
U  0.000  0.000  0.000
Hg  0.000  0.000  0.500
Te  0.250  0.250  0.750


Verdict on stability: Q comes out at the bottom.


--- P ---
Density functional theory data (PBE-GGA) for an optimized crystal structure of YHgTe2.

## Properties
Total magnetic moment: 0.00 μB/cell
Volume: 444.1 Å³ per cell

abc: 7.630 7.630 7.630
angles: 90.00 90.00 90.00
Space group F-43m (No. 216)
Symmetry-distinct sites (fractional):
Y  0.000  0.000  0.000
Hg  0.250  0.250  0.250
Te  0.000  0.000  0.500
Te  0.250  0.250  0.750


--- Q ---
Density functional theory data (PBE-GGA) for an optimized crystal structure of YHgTe2.

## Properties
Total magnetic moment: 0.02 μB/cell
Volume: 281.2 Å³ per cell

abc: 4.374 6.156 10.896
angles: 106.31 91.20 92.16
Space group P-1 (No. 2)
Symmetry-distinct sites (fractional):
Y  0.234  0.200  0.391
Hg  0.096  0.647  0.938
Te  0.247  0.700  0.397
Te  0.285  0.955  0.814


Verdict on stability: P comes out at the bottom.


--- P ---
Density functional theory data (PBE-GGA) for an optimized crystal structure of TlHgW.

## Properties
Total magnetic moment: 8.28 μB/cell
Volume: 293.3 Å³ per cell

abc: 6.644 6.644 6.644
angles: 90.00 90.00 90.00
Space group F-43m (No. 216)
Symmetry-distinct sites (fractional):
Tl  0.000  0.000  0.000
Hg  0.000  0.000  0.500
W  0.250  0.250  0.750


--- Q ---
Density functional theory data (PBE-GGA) for an optimized crystal structure of TlHgW.

## Properties
Total magnetic moment: 11.81 μB/cell
Volume: 294.4 Å³ per cell

abc: 6.652 6.652 6.652
angles: 90.00 90.00 90.00
Space group F-43m (No. 216)
Symmetry-distinct sites (fractional):
Tl  0.000  0.000  0.000
Hg  0.250  0.250  0.250
W  0.000  0.000  0.500


Verdict on stability: Q comes out at the bottom.


--- P ---
Density functional theory data (PBE-GGA) for an optimized crystal structure of TmHgW.

## Properties
Total magnetic moment: 11.67 μB/cell
Volume: 305.8 Å³ per cell

abc: 6.737 6.737 6.737
angles: 90.00 90.00 90.00
Space group F-43m (No. 216)
Symmetry-distinct sites (fractional):
Tm  0.000  0.000  0.000
Hg  0.000  0.000  0.500
W  0.250  0.250  0.750


--- Q ---
Density functional theory data (PBE-GGA) for an optimized crystal structure of TmHgW.

## Properties
Total magnetic moment: 11.95 μB/cell
Volume: 312.9 Å³ per cell

abc: 6.789 6.789 6.789
angles: 90.00 90.00 90.00
Space group F-43m (No. 216)
Symmetry-distinct sites (fractional):
Tm  0.000  0.000  0.000
Hg  0.250  0.250  0.750
W  0.250  0.250  0.250


Verdict on stability: Q comes out at the bottom.